Record 1
{"formula": "TcOs2Pt2", "functional": "PBE", "state": "optimized geometry", "magnetic_moment_mub_per_fu": 2.206, "dos_ef_per_ev_fu": 5.2, "final_energy_ev_per_atom": -8.291, "sg": "I4/mmm", "lattice_angstrom": [[-1.7958, 1.7958, 6.4824], [1.7958, -1.7958, 6.4824], [1.7958, 1.7958, -6.4824]], "species": ["Tc", "Os", "Os", "Pt", "Pt"], "frac_coords": [[0.0000, 0.0000, 0.0000], [0.2500, 0.7500, 0.5000], [0.7500, 0.2500, 0.5000], [0.4019, 0.4019, 0.0000], [0.5981, 0.5981, 0.0000]]}

***

Record 2
{"formula": "CsCaAgS2", "functional": "PBE", "state": "optimized geometry", "magnetic_moment_mub_per_fu": 0.000, "dos_ef_per_ev_fu": 0.0, "e_form_raw_ev_per_atom": -1.18, "final_energy_ev_per_atom": -3.976, "sg": "Cmme", "lattice_angstrom": [[5.9216, 0.0000, 0.0000], [0.0000, 7.2406, 0.0000], [0.0000, -3.6203, 7.6105]], "species": ["S", "S", "S", "S", "Ag", "Ag", "Ca", "Ca", "Cs", "Cs"], "frac_coords": [[0.7116, 0.6082, 0.2165], [0.7116, 0.8918, 0.7835], [0.2884, 0.1082, 0.2165], [0.2884, 0.3918, 0.7835], [0.0000, 0.5000, 0.0000], [0.0000, 0.0000, 0.0000], [0.5000, 0.7500, 0.0000], [0.5000, 0.2500, 0.0000], [0.2215, 0.7500, 0.5000], [0.7785, 0.2500, 0.5000]]}

***

Record 3
{"formula": "DyTl2CdF6", "functional": "PBE", "state": "optimized geometry", "magnetic_moment_mub_per_fu": 0.000, "dos_ef_per_ev_fu": 2.6, "e_form_raw_ev_per_atom": -2.57, "final_energy_ev_per_atom": -4.717, "sg": "Pmmn", "lattice_angstrom": [[-0.9645, -1.9615, -6.1236], [0.8126, -6.1776, 1.8508], [-9.0303, -0.6950, 1.6450]], "species": ["Cd", "Cd", "Dy", "Dy", "F", "F", "F", "F", "F", "F", "F", "F", "F", "F", "F", "F", "Tl", "Tl", "Tl", "Tl"], "frac_coords": [[0.5000, 0.2504, 0.0000], [0.0000, 0.7496, 0.5000], [0.5000, 0.2493, 0.5000], [0.0000, 0.7507, 0.0000], [0.2385, 0.5128, 0.0000], [0.0000, 0.7499, 0.2379], [0.2615, 0.4872, 0.5000], [0.7385, 0.4872, 0.5000], [0.2629, 0.0100, 0.5000], [0.5000, 0.2501, 0.2621], [0.7615, 0.5128, 0.0000], [0.7629, 0.9900, 0.0000], [0.0000, 0.7499, 0.7621], [0.7371, 0.0100, 0.5000], [0.5000, 0.2501, 0.7379], [0.2371, 0.9900, 0.0000], [0.0000, 0.2504, 0.2495], [0.5000, 0.7496, 0.7495], [0.0000, 0.2504, 0.7505], [0.5000, 0.7496, 0.2505]]}

***

Record 4
{"formula": "MgBeSi", "functional": "PBE", "state": "optimized geometry", "magnetic_moment_mub_per_fu": 0.000, "dos_ef_per_ev_fu": 0.9, "e_form_raw_ev_per_atom": 0.32, "final_energy_ev_per_atom": -3.266, "sg": "I4mm", "lattice_angstrom": [[-4.0505, -3.6479, 2.5284], [-0.7203, -3.8364, 4.5683], [1.7725, 5.2102, -2.4121]], "species": ["Si", "Mg", "Be"], "frac_coords": [[0.6441, 0.6441, 0.0000], [0.3434, 0.3434, 0.0000], [0.0126, 0.0126, 0.0000]]}

***

Record 5
{"formula": "Li2CaCd", "functional": "PBE", "state": "optimized geometry", "magnetic_moment_mub_per_fu": 0.000, "dos_ef_per_ev_fu": 2.2, "final_energy_ev_per_atom": -1.776, "polymorph_energy_kj_per_mol_atoms": 9.11, "sg": "P2/m", "lattice_angstrom": [[-1.8168, 1.9327, 4.3775], [2.5128, -1.9093, 1.8858], [3.8856, 3.8739, -0.0977]], "species": ["Li", "Li", "Cd", "Ca"], "frac_coords": [[0.0000, 0.5613, 0.5397], [0.0000, 0.9387, 0.9603], [0.5000, 0.7500, 0.7500], [0.5000, 0.2500, 0.2500]]}

***

Record 6
{"formula": "Sr2Ca8Pr", "functional": "PBE", "state": "optimized geometry", "magnetic_moment_mub_per_fu": 0.000, "dos_ef_per_ev_fu": 13.0, "final_energy_ev_per_atom": -2.086, "polymorph_energy_kj_per_mol_atoms": 0.00, "sg": "C2/m", "lattice_angstrom": [[-6.1673, -0.7269, 0.7567], [4.6711, -6.1617, 6.2835], [2.3188, 9.4563, 2.1146]], "species": ["Ca", "Ca", "Ca", "Ca", "Ca", "Ca", "Ca", "Ca", "Sr", "Sr", "Pr"], "frac_coords": [[0.5000, 0.7124, 0.2876], [0.1975, 0.8275, 0.5666], [0.5000, 0.2876, 0.7124], [0.8025, 0.1725, 0.4334], [0.8025, 0.4334, 0.1725], [0.1975, 0.5666, 0.8275], [0.6937, 0.6927, 0.6927], [0.3063, 0.3073, 0.3073], [0.0000, 0.8519, 0.1481], [0.0000, 0.1481, 0.8519], [0.5000, 0.0000, 0.0000]]}